Entry from Alexandria: Tb4Nd7Sc after structural relaxation (GGA-PBE).

- energy of formation (kcal/mol of atoms) = 0.60
- energy relative to the lowest polymorph listed for this composition (eV per atom) = 0.0000

a b c (Å): 7.2010 6.2348 9.5637
angles (deg): 96.22 79.00 73.67
Element x y z (fractional)
Sc 0.0000 0.0000 0.0000
Nd 0.6702 0.9961 0.3288
Nd 0.9157 0.5030 0.8380
Nd 0.7502 0.5008 0.5031
Nd 0.0843 0.4970 0.1620
Nd 0.3298 0.0039 0.6712
Nd 0.5000 0.0000 0.0000
Nd 0.2498 0.4992 0.4969
Tb 0.1660 0.9979 0.3300
Tb 0.8340 0.0021 0.6700
Tb 0.4134 0.5064 0.8351
Tb 0.5866 0.4936 0.1649

Entry from Alexandria: Ti3HOs after structural relaxation (GGA-PBE).

- energy relative to the lowest polymorph listed for this composition (eV per atom) = 1.2733

a b c (Å): 4.7802 4.7802 4.7802
angles (deg): 90.00 90.00 90.00
Site moments in Bohr magnetons follow the coordinates.
Element x y z (fractional)
H 0.5000 0.5000 0.5000  -0.01
Ti 0.0000 0.0000 0.5000  0.29
Ti 0.5000 0.0000 0.0000  0.76
Ti 0.0000 0.5000 0.0000  0.43
Os 0.0000 0.0000 0.0000  -0.11

Entry from Alexandria: Sm2Al3GaCu4 after structural relaxation (GGA-PBE).

- energy of formation (kcal/mol of atoms) = -9.48

a b c (Å): 4.1960 4.1960 10.1498
angles (deg): 90.00 90.00 90.00
Element x y z (fractional)
Al 0.5000 0.0000 0.8725
Al 0.0000 0.5000 0.1275
Al 0.0000 0.0000 0.5000
Cu 0.5000 0.5000 0.0000
Cu 0.0000 0.0000 0.0000
Cu 0.5000 0.0000 0.6337
Cu 0.0000 0.5000 0.3663
Sm 0.5000 0.0000 0.2471
Sm 0.0000 0.5000 0.7529
Ga 0.5000 0.5000 0.5000

Entry from Alexandria: KYHf after structural relaxation (GGA-PBE).

- energy of formation (kcal/mol of atoms) = 10.58
- energy relative to the lowest polymorph listed for this composition (eV per atom) = 0.1463

a b c (Å): 5.5546 3.4474 12.8283
angles (deg): 97.37 87.79 89.99
Element x y z (fractional)
Y 0.8241 0.2354 0.8116
Y 0.3306 0.7467 0.8349
K 0.3689 0.1163 0.5491
K 0.8925 0.4601 0.2773
Hf 0.4772 0.3403 0.0317
Hf 0.9443 0.8322 0.0148

Entry from Alexandria: Ag3RhF6 after structural relaxation (GGA-PBE).

- energy relative to the lowest polymorph listed for this composition (eV per atom) = 0.0372
- formation energy without anion corrections (eV per atom) = -1.19

a b c (Å): 5.5619 5.5619 6.4051
angles (deg): 111.77 111.77 98.39
Element x y z (fractional)
Ag 0.7500 0.2500 0.5000
Ag 0.5000 0.5000 0.0000
Ag 0.2500 0.7500 0.5000
F 0.9338 0.9338 0.2655
F 0.0662 0.0662 0.7345
F 0.3317 0.3317 0.2655
F 0.2371 0.7629 0.0000
F 0.6683 0.6683 0.7345
F 0.7629 0.2371 0.0000
Rh 0.0000 0.0000 0.0000

Entry from Alexandria: BaCaSe2 after structural relaxation (GGA-PBE).

- energy relative to the lowest polymorph listed for this composition (eV per atom) = 0.1628
- formation energy without anion corrections (eV per atom) = -1.84

a b c (Å): 7.7966 7.7965 4.3405
angles (deg): 89.99 89.99 30.78
Element x y z (fractional)
Se 0.7747 0.7747 0.6252
Se 0.0374 0.0374 0.1248
Ca 0.2225 0.2225 0.1253
Ba 0.4654 0.4655 0.6248

Entry from Alexandria: AlHgPt2 after structural relaxation (GGA-PBE).

- energy of formation (kcal/mol of atoms) = -6.55
- energy relative to the lowest polymorph listed for this composition (eV per atom) = 0.3053

a b c (Å): 7.1658 7.1658 5.7866
angles (deg): 51.74 51.74 90.00
Element x y z (fractional)
Pt 0.1652 0.6250 0.2500
Pt 0.8750 0.8348 0.7500
Pt 0.5848 0.1250 0.2500
Pt 0.3750 0.4152 0.7500
Hg 0.0000 0.0000 0.0000
Hg 0.7500 0.2500 0.5000
Al 0.2500 0.7500 0.5000
Al 0.5000 0.5000 0.0000

Entry from Alexandria: Li2GeB after structural relaxation (GGA-PBE).

- energy of formation (kcal/mol of atoms) = 6.64
- energy relative to the lowest polymorph listed for this composition (eV per atom) = 0.0000

a b c (Å): 9.2206 9.2206 6.7847
angles (deg): 47.19 47.19 90.00
Element x y z (fractional)
Li 0.3750 0.6242 0.7500
Li 0.8750 0.6258 0.7500
Li 0.3742 0.6250 0.2500
Li 0.3758 0.1250 0.2500
Ge 0.7500 0.2500 0.5000
Ge 0.0000 0.0000 0.0000
B 0.5000 0.5000 0.0000
B 0.2500 0.7500 0.5000